# 1
DFT (PBE-GGA) results for an optimized crystal structure of Tl2MoPb.

Cell: 3.210 3.210 33.319 Å, 90.00 90.00 120.00°
Positions (direct):
Tl 0.000 0.000 0.239
Tl 0.000 0.000 0.761
Tl 0.333 0.667 0.428
Tl 0.333 0.667 0.906
Tl 0.667 0.333 0.094
Tl 0.667 0.333 0.572
Mo 0.000 0.000 0.500
Mo 0.333 0.667 0.167
Mo 0.667 0.333 0.833
Pb 0.000 0.000 0.000
Pb 0.333 0.667 0.667
Pb 0.667 0.333 0.333

Calculated volume ... 99.1 Å³/f.u.
Theoretical density ... 11.93 g cm⁻³
Offset from the most stable computed form ... 125 meV/atom
Fermi-level density of states ... 9.4 states/eV per cell
SG ... R-3m



# 2
DFT (PBE-GGA) results for an optimized crystal structure of Li2Pd5.

Cell: 8.674 8.674 5.361 Å, 91.67 91.67 31.27°
Positions (direct):
Li 0.003 0.841 0.610
Li 0.159 0.997 0.890
Li 0.841 0.003 0.110
Li 0.997 0.159 0.390
Pd 0.137 0.292 0.682
Pd 0.286 0.436 0.971
Pd 0.292 0.137 0.182
Pd 0.432 0.568 0.250
Pd 0.436 0.286 0.471
Pd 0.564 0.714 0.529
Pd 0.568 0.432 0.750
Pd 0.708 0.863 0.818
Pd 0.714 0.564 0.029
Pd 0.863 0.708 0.318

Calculated volume ... 104.6 Å³/f.u.
Theoretical density ... 8.66 g cm⁻³
Offset from the most stable computed form ... 13 meV/atom
Fermi-level density of states ... 18.7 states/eV per cell
SG ... C2/c